{"formula": "LiTaHg3", "functional": "PBEsol", "state": "relaxed", "spacegroup": "Pm-3m (221)", "dos_ef_per_ev_cell": 2.28, "formation_enthalpy_0k_ev_per_atom": 0.670, "lattice": [[4.528, 0.000, 0.000], [0.000, 4.528, 0.000], [0.000, 0.000, 4.528]], "species": ["Li", "Ta", "Hg", "Hg", "Hg"], "fractional_positions": [[0.000, 0.000, 0.000], [0.500, 0.500, 0.500], [0.000, 0.000, 0.500], [0.000, 0.500, 0.000], [0.500, 0.000, 0.000]]}